[1]
Below is Nd2Sm2CI3Br2 after structural relaxation, with properties calculated at the PBE level.

The value obtained for the energy above the most stable polymorph in this dataset is 1.6 meV per atom.

The space group is C2/m (No. 12) and the conventional cell measures 18.961, 4.014 and 8.715 Å, with angles of 90.00, 103.67 and 90.00 degrees. The distinct sites, in fractional coordinates, are Nd at (0.137, 0.000, 0.075), Sm at (0.000, 0.500, 0.194), C at (0.000, 0.000, 0.000), I at (0.000, 0.000, 0.500), I at (0.169, 0.500, 0.816) and Br at (0.159, 0.500, 0.333).

***

[2]
Below is PmPrNO after structural relaxation, with properties calculated at the PBE level.

The value obtained for the energy above the most stable polymorph in this dataset is 0.0 meV per atom.

The space group is Pmma (No. 51) and the conventional cell measures 5.125, 4.151 and 7.195 Å, with angles of 90.00, 90.00 and 90.00 degrees. The distinct sites, in fractional coordinates, are Pm at (0.250, 0.000, 0.166), Pr at (0.250, 0.500, 0.665), N at (0.250, 0.000, 0.840) and O at (0.250, 0.500, 0.320).

***

[3]
Below is BePOsO after structural relaxation, with properties calculated at the PBE level.

The value obtained for the energy above the most stable polymorph in this dataset is 1122.4 meV per atom.

The space group is P4/nmm (No. 129, origin choice 2) and the conventional cell measures 3.387, 3.387 and 7.568 Å, with angles of 90.00, 90.00 and 90.00 degrees. The distinct sites, in fractional coordinates, are Be at (0.250, 0.750, 0.000), P at (0.250, 0.250, 0.196), Os at (0.250, 0.250, 0.683) and O at (0.250, 0.750, 0.500).

***

[4]
Below is PrDyB2Ir2N2 after structural relaxation, with properties calculated at the PBE level.

The space group is P4mm (No. 99) and the conventional cell measures 3.786, 3.786 and 7.533 Å, with angles of 90.00, 90.00 and 90.00 degrees. The distinct sites, in fractional coordinates, are Pr at (0.000, 0.000, 0.000), Dy at (0.500, 0.500, 0.670), B at (0.000, 0.000, 0.485), B at (0.500, 0.500, 0.180), Ir at (0.000, 0.500, 0.337), N at (0.000, 0.000, 0.683) and N at (0.500, 0.500, 0.980).

***

[5]
Below is NaSmSnSe3 after structural relaxation, with properties calculated at the PBE level.

The space group is Cmcm (No. 63) and the conventional cell measures 4.526, 13.940 and 11.495 Å, with angles of 90.00, 90.00 and 90.00 degrees. The distinct sites, in fractional coordinates, are Na at (0.000, 0.246, 0.250), Sm at (0.000, 0.500, 0.000), Sn at (0.000, 0.024, 0.750), Se at (0.000, 0.137, 0.546) and Se at (0.000, 0.403, 0.750).

***

[6]
Below is DyTlNiTe3 after structural relaxation, with properties calculated at the PBE level.

The value obtained for the energy above the most stable polymorph in this dataset is 34.8 meV per atom.

The space group is Pnma (No. 62) and the conventional cell measures 12.562, 4.251 and 12.717 Å, with angles of 90.00, 90.00 and 90.00 degrees. The distinct sites, in fractional coordinates, are Dy at (0.038, 0.250, 0.192), Tl at (0.197, 0.250, 0.497), Ni at (0.233, 0.750, 0.317), Te at (0.035, 0.750, 0.362), Te at (0.096, 0.250, 0.934) and Te at (0.215, 0.750, 0.720).

***

no.,total magnetic moment (μB per atom),E (eV/cell),density (g/cm3)
1,0.035,-97.36,5.9
2,0.003,-61.92,6.9
3,0.002,-48.62,9.4
4,0.000,-65.91,11.3
5,0.000,-105.06,4.8
6,0.000,-102.95,7.9